# 1
The following is a DFT calculation (PBE) of a relaxed structure of Ba6Au2NCl.

The raw total energy comes out at -3.610 eV per atom. As for the density of states at the Fermi level: 15.257 states/eV per cell. For the calculated density, the calculation gives 5.66 g cm⁻³. The value obtained for the formation energy without anion corrections is -783 meV per atom.

The structure belongs to space group P2_1/c (No. 14); the cell edges are 7.730, 8.487 and 13.627 Å and the angles 90.00°, 123.75° and 90.00°. Symmetry generates all atoms from Ba at (0.108, 0.038, 0.230), Ba at (0.223, 0.711, 0.062), Ba at (0.355, 0.169, 0.059), Au at (0.296, 0.097, 0.752), N at (0.000, 0.000, 0.000) and Cl at (0.500, 0.000, 0.500).

# 2
The following is a DFT calculation (PBE) of a relaxed structure of BaNaAu2Cl.

The raw total energy comes out at -2.461 eV per atom. As for the density of states at the Fermi level: 0.000 states/eV per cell. For the calculated density, the calculation gives 1.96 g cm⁻³. The value obtained for the formation energy without anion corrections is -132 meV per atom.

The structure belongs to space group P4/mmm (No. 123); the cell edges are 5.976, 5.976 and 14.001 Å and the angles 90.00°, 90.00° and 90.00°. Symmetry generates all atoms from Ba at (0.000, 0.000, 0.000), Na at (0.000, 0.000, 0.500), Au at (0.000, 0.500, 0.000) and Cl at (0.500, 0.500, 0.500).

# 3
The following is a DFT calculation (PBE) of a relaxed structure of BaPAuCl2.

The raw total energy comes out at -3.569 eV per atom. As for the density of states at the Fermi level: 3.441 states/eV per cell. For the calculated density, the calculation gives 5.21 g cm⁻³. The value obtained for the formation energy without anion corrections is -708 meV per atom.

The structure belongs to space group P4/mmm (No. 123); the cell edges are 5.399, 5.399 and 4.771 Å and the angles 90.00°, 90.00° and 90.00°. Symmetry generates all atoms from Ba at (0.000, 0.000, 0.000), P at (0.500, 0.500, 0.000), Au at (0.500, 0.500, 0.500) and Cl at (0.000, 0.500, 0.500).

# 4
The following is a DFT calculation (PBE) of a relaxed structure of BaPAuCl2.

The raw total energy comes out at -2.956 eV per atom. As for the density of states at the Fermi level: 0.041 states/eV per cell. For the calculated density, the calculation gives 2.86 g cm⁻³. The value obtained for the formation energy without anion corrections is -96 meV per atom.

The structure belongs to space group P4/mmm (No. 123); the cell edges are 5.822, 5.822 and 7.460 Å and the angles 90.00°, 90.00° and 90.00°. Symmetry generates all atoms from Ba at (0.000, 0.000, 0.000), P at (0.000, 0.000, 0.500), Au at (0.500, 0.500, 0.500) and Cl at (0.000, 0.500, 0.000).

# 5
The following is a DFT calculation (PBE) of a relaxed structure of BaPbAu2Cl.

The raw total energy comes out at -3.193 eV per atom. As for the density of states at the Fermi level: 1.790 states/eV per cell. For the calculated density, the calculation gives 6.61 g cm⁻³. The value obtained for the formation energy without anion corrections is -387 meV per atom.

The structure belongs to space group P4/mmm (No. 123); the cell edges are 5.225, 5.225 and 7.122 Å and the angles 90.00°, 90.00° and 90.00°. Symmetry generates all atoms from Ba at (0.000, 0.000, 0.000), Pb at (0.000, 0.000, 0.500), Au at (0.000, 0.500, 0.500) and Cl at (0.500, 0.500, 0.000).

# 6
The following is a DFT calculation (PBE) of a relaxed structure of Ba4PtAuCl2.

The raw total energy comes out at -3.919 eV per atom. As for the density of states at the Fermi level: 5.575 states/eV per cell. For the calculated density, the calculation gives 5.70 g cm⁻³. The value obtained for the formation energy without anion corrections is -1332 meV per atom.

The structure belongs to space group P2/m (No. 10); the cell edges are 7.932, 4.579 and 8.544 Å and the angles 90.00°, 108.02° and 90.00°. Symmetry generates all atoms from Ba at (0.233, 0.000, 0.224), Ba at (0.248, 0.500, 0.772), Pt at (0.000, 0.500, 0.000), Au at (0.500, 0.000, 0.000), Cl at (0.000, 0.000, 0.500) and Cl at (0.500, 0.500, 0.500).

# 7
The following is a DFT calculation (PBE) of a relaxed structure of Ba6Pt2AuCl3.

The raw total energy comes out at -4.053 eV per atom. As for the density of states at the Fermi level: 18.164 states/eV per cell. For the calculated density, the calculation gives 5.75 g cm⁻³. The value obtained for the formation energy without anion corrections is -1350 meV per atom.

The structure belongs to space group C2/m (No. 12); the cell edges are 7.905, 13.694 and 8.521 Å and the angles 90.00°, 108.03° and 90.00°. Symmetry generates all atoms from Ba at (0.228, 0.000, 0.226), Ba at (0.248, 0.327, 0.224), Pt at (0.000, 0.166, 0.000), Au at (0.000, 0.500, 0.000), Cl at (0.000, 0.000, 0.500) and Cl at (0.000, 0.333, 0.500).

# 8
The following is a DFT calculation (PBE) of a relaxed structure of Rb2BaAu2Cl6.

The raw total energy comes out at -3.328 eV per atom. As for the density of states at the Fermi level: 0.000 states/eV per cell. For the calculated density, the calculation gives 3.96 g cm⁻³. The value obtained for the formation energy without anion corrections is -1374 meV per atom.

The structure belongs to space group C2/m (No. 12); the cell edges are 14.251, 7.749 and 8.154 Å and the angles 90.00°, 121.44° and 90.00°. Symmetry generates all atoms from Rb at (0.235, 0.000, 0.198), Ba at (0.000, 0.000, 0.500), Au at (0.058, 0.500, 0.217), Cl at (0.077, 0.258, 0.829) and Cl at (0.245, 0.000, 0.619).